No. 1
This record from the Alexandria database describes crystalline Tb7Y4Sc at its relaxed geometry. The functional is PBE-GGA.

Values from the calculation:
Formation energy ... 3.3 eV per formula unit
Total magnetization ... 0.043 μB per atom
DOS(E_F) ... 41.15 states/eV per cell
Calculated volume ... 32.578 A^3/atom

a = 11.8827 Å, b = 5.8425 Å, c = 12.6901 Å
α = 90.00°, β = 117.44°, γ = 90.00°
Space group C2/m (No. 12)
Symmetry-distinct sites (fractional):
Tb 0.0000 0.0000 0.0000 [2 per cell]
Tb 0.1378 0.5000 0.5057 [4 per cell]
Tb 0.2188 0.0000 0.9254 [4 per cell]
Tb 0.2302 0.5000 0.3028 [4 per cell]
Y 0.0501 0.0000 0.3308 [4 per cell]
Y 0.1357 0.5000 0.7762 [4 per cell]
Sc 0.0000 0.5000 0.0000 [2 per cell]

=====

No. 2
This record from the Alexandria database describes crystalline TbYSc4 at its relaxed geometry. The functional is PBE-GGA.

Values from the calculation:
Formation energy ... 0.4 eV per formula unit
E above lowest polymorph ... 0.000 eV per atom
Total magnetization ... 0.000 μB per atom
DOS(E_F) ... 49.10 states/eV per cell
Calculated volume ... 26.857 A^3/atom

a = 6.5829 Å, b = 18.4327 Å, c = 5.3121 Å
α = 90.00°, β = 90.00°, γ = 90.00°
Space group Cmcm (No. 63)
Symmetry-distinct sites (fractional):
Tb 0.0000 0.1246 0.2500 [4 per cell]
Y 0.0000 0.3746 0.7500 [4 per cell]
Sc 0.2501 0.0417 0.7500 [8 per cell]
Sc 0.2500 0.2083 0.7500 [8 per cell]

=====

No. 3
This record from the Alexandria database describes crystalline Tb5Y2Sc2 at its relaxed geometry. The functional is PBE-GGA.

Values from the calculation:
Formation energy ... 0.9 eV per formula unit
E above lowest polymorph ... 0.000 eV per atom
Total magnetization ... 0.000 μB per atom
DOS(E_F) ... 29.42 states/eV per cell
Calculated volume ... 30.782 A^3/atom

a = 17.6293 Å, b = 3.4506 Å, c = 9.4109 Å
α = 90.00°, β = 104.57°, γ = 90.00°
Space group C2/m (No. 12)
Symmetry-distinct sites (fractional):
Tb 0.0000 0.0000 0.0000 [2 per cell]
Tb 0.1586 0.5000 0.2146 [4 per cell]
Tb 0.1681 0.0000 0.8993 [4 per cell]
Y 0.1465 0.0000 0.5299 [4 per cell]
Sc 0.0117 0.5000 0.6770 [4 per cell]

=====

No. 4
This record from the Alexandria database describes crystalline TbY5Sc4 at its relaxed geometry. The functional is PBE-GGA.

Values from the calculation:
Formation energy ... 0.6 eV per formula unit
E above lowest polymorph ... 0.000 eV per atom
Total magnetization ... 0.000 μB per atom
DOS(E_F) ... 30.75 states/eV per cell
Calculated volume ... 28.939 A^3/atom

a = 17.6524 Å, b = 4.8398 Å, c = 6.9121 Å
α = 90.00°, β = 101.45°, γ = 90.00°
Space group Cm (No. 8)
Symmetry-distinct sites (fractional):
Tb 0.0000 0.0000 0.0000 [2 per cell]
Y 0.0988 0.5000 0.7963 [2 per cell]
Y 0.1958 0.0000 0.5828 [2 per cell]
Y 0.2983 0.5000 0.9015 [2 per cell]
Y 0.3950 0.0000 0.6885 [2 per cell]
Y 0.4938 0.5000 0.4832 [2 per cell]
Sc 0.0995 0.5000 0.2892 [2 per cell]
Sc 0.1990 0.0000 0.1000 [2 per cell]
Sc 0.2944 0.5000 0.3842 [2 per cell]
Sc 0.3941 0.0000 0.1940 [2 per cell]